# FeMo2HIr

FeMo2HIr after structural relaxation (GGA-PBE, the Alexandria database).

Final energy in eV per atom: -8.52
Fermi-level density of states in states/eV per cell: 3.1
SG: No. 123
Size of the total moment in μB per cell: 0.0

The structure in extended XYZ format:
```
5
Lattice="3.9351 0.0000 0.0000 0.0000 3.7793 0.0000 0.0000 0.0000 3.9351" Properties=species:S:1:pos:R:3 pbc="T T T"
Fe 0.0000 1.8896 0.0000
Ir 1.9675 1.8896 1.9675
H 0.0000 0.0000 0.0000
Mo 1.9675 0.0000 0.0000
Mo 0.0000 0.0000 1.9675
```